Compound: Tl2InIr
Source: Alexandria
Functional: PBE
Structure: relaxed

CIF file:
```
data_Tl2InIr
_chemical_formula_sum 'Tl8 In4 Ir4'
_space_group_name_H-M_alt 'I 41/a m d'
_space_group_IT_number 141
_cell_length_a 10.393
_cell_length_b 10.393
_cell_length_c 5.215
_cell_angle_alpha 90.00
_cell_angle_beta 90.00
_cell_angle_gamma 90.00
loop_
_space_group_symop_operation_xyz
'x,y,z'
'-x,-y,-z'
'-y+1/4,x+3/4,z+1/4'
'y+1/4,-x+3/4,-z+1/4'
'-x+1/2,-y,z+1/2'
'x+1/2,y,-z+1/2'
'y+1/4,-x+1/4,z+3/4'
'-y+1/4,x+1/4,-z+3/4'
'x,-y,-z'
'-x,y,z'
'-y+1/4,-x+1/4,-z+3/4'
'y+1/4,x+1/4,z+3/4'
'-x+1/2,y,-z+1/2'
'x+1/2,-y,z+1/2'
'y+1/4,x+3/4,-z+1/4'
'-y+1/4,-x+3/4,z+1/4'
'x+1/2,y+1/2,z+1/2'
'-x+1/2,-y+1/2,-z+1/2'
'-y+3/4,x+1/4,z+3/4'
'y+3/4,-x+1/4,-z+3/4'
'-x,-y+1/2,z'
'x,y+1/2,-z'
'y+3/4,-x+3/4,z+1/4'
'-y+3/4,x+3/4,-z+1/4'
'x+1/2,-y+1/2,-z+1/2'
'-x+1/2,y+1/2,z+1/2'
'-y+3/4,-x+3/4,-z+1/4'
'y+3/4,x+3/4,z+1/4'
'-x,y+1/2,-z'
'x,-y+1/2,z'
'y+3/4,x+1/4,-z+3/4'
'-y+3/4,-x+1/4,z+3/4'
loop_
_atom_site_label
_atom_site_type_symbol
_atom_site_fract_x
_atom_site_fract_y
_atom_site_fract_z
Tl1 Tl 0.000 0.000 0.000
In1 In 0.000 0.250 0.375
Ir1 Ir 0.000 0.250 0.875
```

Output
calculated total energy = -3.99 eV/atom
distance to the lowest polymorph of the same formula = 7 meV per atom
formation energy = 0.39 eV/f.u.
calculated volume = 35.2 Å³ per atom